No. 1
Y2PaSe5 | PBE | optimized geometry

It has space group Cmcm (No. 63), with a = 5.629 Å, b = 13.613 Å, c = 13.783 Å, α = 90.00°, β = 90.00° and γ = 90.00°. The inequivalent atoms are Y at (0.000, 0.147, 0.054), Pa at (0.000, 0.204, 0.750), Se at (0.000, 0.046, 0.623), Se at (0.000, 0.246, 0.250) and Se at (0.000, 0.320, 0.572).

The polymorph energy (0 for the lowest one) comes out at 0 meV per atom. The energy relative to the elements, uncorrected comes out at -1.6325 eV/atom.



No. 2
Dy5Ho12Er2 | PBE | optimized geometry

It has space group P-1 (No. 2), with a = 6.437 Å, b = 8.789 Å, c = 11.309 Å, α = 109.60°, β = 92.98° and γ = 98.02°. The inequivalent atoms are Dy at (0.000, 0.000, 0.000), Dy at (0.195, 0.988, 0.698), Dy at (0.487, 0.609, 0.281), Ho at (0.032, 0.740, 0.370), Ho at (0.054, 0.343, 0.231), Ho at (0.223, 0.402, 0.959), Ho at (0.296, 0.828, 0.140), Ho at (0.335, 0.128, 0.423), Ho at (0.475, 0.801, 0.863) and Er at (0.264, 0.555, 0.540).

The polymorph energy (0 for the lowest one) comes out at 0 meV per atom. As for the energy of formation from the pure elements: 8.7 kJ/mol of atoms.



No. 3
ReTe2Br | PBE | optimized geometry

It has space group Fm-3m (No. 225), with a = 7.044 Å, b = 7.044 Å, c = 7.044 Å, α = 90.00°, β = 90.00° and γ = 90.00°. The inequivalent atoms are Re at (0.000, 0.000, 0.000), Te at (0.250, 0.250, 0.250) and Br at (0.000, 0.000, 0.500).

The polymorph energy (0 for the lowest one) comes out at 898 meV per atom. The energy relative to the elements, uncorrected comes out at 0.8580 eV/atom.



No. 4
AcTb4Se5 | PBE | optimized geometry

It has space group Immm (No. 71), with a = 4.142 Å, b = 5.931 Å, c = 20.982 Å, α = 90.00°, β = 90.00° and γ = 90.00°. The inequivalent atoms are Ac at (0.000, 0.000, 0.000), Tb at (0.000, 0.000, 0.205), Tb at (0.000, 0.000, 0.400), Se at (0.000, 0.500, 0.000), Se at (0.000, 0.500, 0.198) and Se at (0.000, 0.500, 0.390).

The energy relative to the elements, uncorrected comes out at -1.7552 eV/atom.



No. 5
NaPmCl2 | PBE | optimized geometry

It has space group R-3m (No. 166, hexagonal axes), with a = 3.7113 Å, b = 3.7113 Å, c = 29.0979 Å, α = 90.00°, β = 90.00° and γ = 120.00°. The inequivalent atoms are Na at (0.0000, 0.0000, 0.0000), Pm at (0.0000, 0.0000, 0.5000) and Cl at (0.0000, 0.0000, 0.1009).

The energy relative to the elements, uncorrected comes out at -1.4448 eV/atom.



No. 6
Eu2MgI | PBE | optimized geometry

It has space group R-3m (No. 166, hexagonal axes), with a = 3.9089 Å, b = 3.9089 Å, c = 35.8530 Å, α = 90.00°, β = 90.00° and γ = 120.00°. The inequivalent atoms are Eu at (0.0000, 0.0000, 0.0959), Mg at (0.0000, 0.0000, 0.0000) and I at (0.0000, 0.0000, 0.5000).

The polymorph energy (0 for the lowest one) comes out at 284 meV per atom. The energy relative to the elements, uncorrected comes out at -0.2668 eV/atom.



No. 7
Rb3U2PaTe6 | PBE | optimized geometry

It has space group C2/m (No. 12), with a = 7.751 Å, b = 13.425 Å, c = 9.109 Å, α = 90.00°, β = 106.48° and γ = 90.00°. The inequivalent atoms are Rb at (0.000, 0.000, 0.000), Rb at (0.000, 0.333, 0.000), U at (0.000, 0.167, 0.500), Pa at (0.000, 0.500, 0.500), Te at (0.234, 0.334, 0.705) and Te at (0.237, 0.000, 0.705).

The energy relative to the elements, uncorrected comes out at -0.8654 eV/atom.



No. 8
Pr6Bi2SbTe3 | PBE | optimized geometry

It has space group C2/m (No. 12), with a = 19.967 Å, b = 4.581 Å, c = 9.143 Å, α = 90.00°, β = 103.21° and γ = 90.00°. The inequivalent atoms are Pr at (0.000, 0.000, 0.242), Pr at (0.163, 0.500, 0.082), Pr at (0.167, 0.500, 0.582), Bi at (0.167, 0.000, 0.333), Sb at (0.000, 0.500, 0.000), Te at (0.000, 0.500, 0.500) and Te at (0.168, 0.000, 0.834).

The energy relative to the elements, uncorrected comes out at -1.2662 eV/atom.



No. 9
Pm3AsCl3 | PBE | optimized geometry

It has space group R-3 (No. 148, hexagonal axes), with a = 7.7238 Å, b = 7.7238 Å, c = 22.4613 Å, α = 90.00°, β = 90.00° and γ = 120.00°. The inequivalent atoms are Pm at (0.0066, 0.4083, 0.0798), As at (0.0000, 0.0000, 0.3313) and Cl at (0.0063, 0.7491, 0.1198).

The energy relative to the elements, uncorrected comes out at -1.6478 eV/atom.



No. 10
LiYReTc2 | PBE | optimized geometry

It has space group P4/mmm (No. 123), with a = 4.736 Å, b = 4.736 Å, c = 5.370 Å, α = 90.00°, β = 90.00° and γ = 90.00°. The inequivalent atoms are Li at (0.000, 0.000, 0.000), Y at (0.500, 0.500, 0.000), Re at (0.500, 0.500, 0.500) and Tc at (0.000, 0.500, 0.500).

As for the energy of formation from the pure elements: 97.1 kJ/mol of atoms.



No. 11
AsW2Cl | PBE | optimized geometry

It has space group Pmm2 (No. 25), with a = 2.926 Å, b = 4.051 Å, c = 7.044 Å, α = 90.00°, β = 90.00° and γ = 90.00°. The inequivalent atoms are As at (0.000, 0.000, 0.000), W at (0.000, 0.000, 0.646), W at (0.500, 0.500, 0.805) and Cl at (0.500, 0.500, 0.452).

The polymorph energy (0 for the lowest one) comes out at 495 meV per atom. The energy relative to the elements, uncorrected comes out at 0.4832 eV/atom.



No. 12
LiTa2Tl | PBE | optimized geometry

It has space group Pm (No. 6), with a = 3.037 Å, b = 3.922 Å, c = 6.397 Å, α = 90.00°, β = 90.80° and γ = 90.00°. The inequivalent atoms are Li at (0.000, 0.000, 0.000), Ta at (0.495, 0.500, 0.268), Ta at (0.998, 0.000, 0.480) and Tl at (0.502, 0.500, 0.786).

As for the energy of formation from the pure elements: 30.4 kJ/mol of atoms.



Respective N(E_F) values: 15.44; 26.64; 8.40; 11.15; 7.08; 9.38; 29.11; 10.85; 17.12; 4.81; 2.51; 2.97 states/eV per cell.
Respective mass density values: 5.05; 8.75; 9.91; 8.10; 3.43; 4.78; 6.32; 7.21; 5.29; 6.59; 9.51; 12.49 g/cm³.
Respective total energy values: -52.907; -85.358; -16.972; -57.604; -15.542; -24.761; -64.210; -65.181; -35.976; -36.527; -30.470; -26.724 eV per formula unit.